Material: KSn2Ru
Method: DFT, PBE
State: optimized geometry

a b c (Å): 4.497 4.497 7.060
angles (deg): 71.43 71.43 60.00
Positions (direct):
Ru: 0.000 0.000 0.000
K: 0.500 0.500 0.500
Sn: 0.292 0.292 0.124
Sn: 0.708 0.708 0.876

Summary:
The total energy is -18.5 eV per cell. As for the crystal system: trigonal.

***

Material: Ac6Sb2PSe3
Method: DFT, PBE
State: optimized geometry

a b c (Å): 4.584 9.166 10.235
angles (deg): 102.42 102.94 90.00
Positions (direct):
Ac: 0.341 0.927 0.681
Ac: 0.663 0.589 0.326
Ac: 0.659 0.073 0.319
Ac: 0.998 0.232 0.996
Ac: 0.002 0.768 0.004
Ac: 0.337 0.411 0.674
Sb: 0.833 0.666 0.666
Sb: 0.167 0.334 0.334
P: 0.500 0.000 0.000
Se: 0.500 0.500 0.000
Se: 0.831 0.165 0.662
Se: 0.169 0.835 0.338

Summary:
The total energy is -68.1 eV per cell. As for the crystal system: monoclinic.

***

Material: PmNdMgRu
Method: DFT, PBE
State: optimized geometry

a b c (Å): 3.474 3.474 8.753
angles (deg): 90.00 90.00 90.00
Positions (direct):
Pm: 0.500 0.500 0.374
Nd: 0.500 0.500 0.769
Mg: 0.000 0.000 0.073
Ru: 0.000 0.000 0.569

Summary:
As for the energy above the most stable polymorph in this dataset: 0.000 eV per formula unit. As for the crystal system: tetragonal.

***

Material: YZr4Tl
Method: DFT, PBE
State: optimized geometry

a b c (Å): 5.960 5.960 5.960
angles (deg): 60.00 60.00 60.00
Positions (direct):
Y: 0.000 0.000 0.000
Zr: 0.883 0.372 0.372
Zr: 0.372 0.372 0.883
Zr: 0.372 0.883 0.372
Zr: 0.372 0.372 0.372
Tl: 0.750 0.750 0.750

Summary:
The total energy is -41.9 eV per cell. As for the crystal system: cubic.